1.
# PBE PmGdInPb, relaxed
data_PmGdInPb
_cell_length_a 5.469
_cell_length_b 5.469
_cell_length_c 5.469
_cell_angle_alpha 60.00
_cell_angle_beta 60.00
_cell_angle_gamma 60.00
_space_group_name_H-M_alt 'P 1'
_space_group_IT_number 1
loop_
_space_group_symop_operation_xyz
'x,y,z'
loop_
_atom_site_label
_atom_site_type_symbol
_atom_site_fract_x
_atom_site_fract_y
_atom_site_fract_z
Pm1 Pm 0.000 0.000 0.000
Gd1 Gd 0.500 0.500 0.500
In1 In 0.250 0.250 0.250
Pb1 Pb 0.750 0.750 0.750
# **DOS at the Fermi energy**: 3.5 states/eV per cell
# **Theoretical density**: 8964 kg/m3


2.
# PBE PrGdInPb, relaxed
data_PrGdInPb
_cell_length_a 5.506
_cell_length_b 5.506
_cell_length_c 5.506
_cell_angle_alpha 60.00
_cell_angle_beta 60.00
_cell_angle_gamma 60.00
_space_group_name_H-M_alt 'P 1'
_space_group_IT_number 1
loop_
_space_group_symop_operation_xyz
'x,y,z'
loop_
_atom_site_label
_atom_site_type_symbol
_atom_site_fract_x
_atom_site_fract_y
_atom_site_fract_z
Pr1 Pr 0.000 0.000 0.000
Gd1 Gd 0.500 0.500 0.500
In1 In 0.750 0.750 0.750
Pb1 Pb 0.250 0.250 0.250
# **DOS at the Fermi energy**: 3.7 states/eV per cell
# **Theoretical density**: 8724 kg/m3


3.
# PBE GdScInPb, relaxed
data_GdScInPb
_cell_length_a 5.286
_cell_length_b 5.286
_cell_length_c 5.286
_cell_angle_alpha 60.00
_cell_angle_beta 60.00
_cell_angle_gamma 60.00
_space_group_name_H-M_alt 'P 1'
_space_group_IT_number 1
loop_
_space_group_symop_operation_xyz
'x,y,z'
loop_
_atom_site_label
_atom_site_type_symbol
_atom_site_fract_x
_atom_site_fract_y
_atom_site_fract_z
Gd1 Gd 0.000 0.000 0.000
Sc1 Sc 0.500 0.500 0.500
In1 In 0.750 0.750 0.750
Pb1 Pb 0.250 0.250 0.250
# **DOS at the Fermi energy**: 3.1 states/eV per cell
# **Theoretical density**: 8333 kg/m3


4.
# PBE SmGdInPb, relaxed
data_SmGdInPb
_cell_length_a 5.457
_cell_length_b 5.457
_cell_length_c 5.457
_cell_angle_alpha 60.00
_cell_angle_beta 60.00
_cell_angle_gamma 60.00
_space_group_name_H-M_alt 'P 1'
_space_group_IT_number 1
loop_
_space_group_symop_operation_xyz
'x,y,z'
loop_
_atom_site_label
_atom_site_type_symbol
_atom_site_fract_x
_atom_site_fract_y
_atom_site_fract_z
Sm1 Sm 0.000 0.000 0.000
Gd1 Gd 0.500 0.500 0.500
In1 In 0.250 0.250 0.250
Pb1 Pb 0.750 0.750 0.750
# **DOS at the Fermi energy**: 3.4 states/eV per cell
# **Theoretical density**: 9100 kg/m3


5.
# PBE TbGdInPb, relaxed
data_TbGdInPb
_cell_length_a 5.419
_cell_length_b 5.419
_cell_length_c 5.419
_cell_angle_alpha 60.00
_cell_angle_beta 60.00
_cell_angle_gamma 60.00
_space_group_name_H-M_alt 'P 1'
_space_group_IT_number 1
loop_
_space_group_symop_operation_xyz
'x,y,z'
loop_
_atom_site_label
_atom_site_type_symbol
_atom_site_fract_x
_atom_site_fract_y
_atom_site_fract_z
Tb1 Tb 0.000 0.000 0.000
Gd1 Gd 0.500 0.500 0.500
In1 In 0.250 0.250 0.250
Pb1 Pb 0.750 0.750 0.750
# **DOS at the Fermi energy**: 3.3 states/eV per cell
# **Theoretical density**: 9420 kg/m3


6.
# PBE GdThInPb, relaxed
data_GdThInPb
_cell_length_a 5.489
_cell_length_b 5.489
_cell_length_c 5.489
_cell_angle_alpha 60.00
_cell_angle_beta 60.00
_cell_angle_gamma 60.00
_space_group_name_H-M_alt 'P 1'
_space_group_IT_number 1
loop_
_space_group_symop_operation_xyz
'x,y,z'
loop_
_atom_site_label
_atom_site_type_symbol
_atom_site_fract_x
_atom_site_fract_y
_atom_site_fract_z
Gd1 Gd 0.000 0.000 0.000
Th1 Th 0.500 0.500 0.500
In1 In 0.250 0.250 0.250
Pb1 Pb 0.750 0.750 0.750
# **DOS at the Fermi energy**: 5.0 states/eV per cell
# **Theoretical density**: 10101 kg/m3


7.
# PBE GdYInPb, relaxed
data_GdYInPb
_cell_length_a 5.415
_cell_length_b 5.415
_cell_length_c 5.415
_cell_angle_alpha 60.00
_cell_angle_beta 60.00
_cell_angle_gamma 60.00
_space_group_name_H-M_alt 'P 1'
_space_group_IT_number 1
loop_
_space_group_symop_operation_xyz
'x,y,z'
loop_
_atom_site_label
_atom_site_type_symbol
_atom_site_fract_x
_atom_site_fract_y
_atom_site_fract_z
Gd1 Gd 0.000 0.000 0.000
Y1 Y 0.500 0.500 0.500
In1 In 0.750 0.750 0.750
Pb1 Pb 0.250 0.250 0.250
# **DOS at the Fermi energy**: 3.3 states/eV per cell
# **Theoretical density**: 8402 kg/m3


8.
# PBE GdInPd4, relaxed
data_GdInPd4
_cell_length_a 5.398
_cell_length_b 5.398
_cell_length_c 5.398
_cell_angle_alpha 60.00
_cell_angle_beta 60.00
_cell_angle_gamma 60.00
_space_group_name_H-M_alt 'P 1'
_space_group_IT_number 1
loop_
_space_group_symop_operation_xyz
'x,y,z'
loop_
_atom_site_label
_atom_site_type_symbol
_atom_site_fract_x
_atom_site_fract_y
_atom_site_fract_z
Gd1 Gd 0.000 0.000 0.000
In1 In 0.750 0.750 0.750
Pd1 Pd 0.375 0.375 0.375
Pd2 Pd 0.375 0.375 0.874
Pd3 Pd 0.375 0.874 0.375
Pd4 Pd 0.874 0.375 0.375
# **DOS at the Fermi energy**: 2.9 states/eV per cell
# **Theoretical density**: 10415 kg/m3


9.
# PBE GdInPd2, relaxed
data_GdInPd2
_cell_length_a 4.838
_cell_length_b 4.838
_cell_length_c 4.838
_cell_angle_alpha 60.00
_cell_angle_beta 60.00
_cell_angle_gamma 60.00
_space_group_name_H-M_alt 'P 1'
_space_group_IT_number 1
loop_
_space_group_symop_operation_xyz
'x,y,z'
loop_
_atom_site_label
_atom_site_type_symbol
_atom_site_fract_x
_atom_site_fract_y
_atom_site_fract_z
Gd1 Gd 0.000 0.000 0.000
In1 In 0.500 0.500 0.500
Pd1 Pd 0.250 0.250 0.250
Pd2 Pd 0.750 0.750 0.750
# **DOS at the Fermi energy**: 3.0 states/eV per cell
# **Theoretical density**: 10057 kg/m3


10.
# PBE GdIn2Pd, relaxed
data_GdIn2Pd
_cell_length_a 10.689
_cell_length_b 10.689
_cell_length_c 10.689
_cell_angle_alpha 17.88
_cell_angle_beta 17.88
_cell_angle_gamma 17.88
_space_group_name_H-M_alt 'P 1'
_space_group_IT_number 1
loop_
_space_group_symop_operation_xyz
'x,y,z'
loop_
_atom_site_label
_atom_site_type_symbol
_atom_site_fract_x
_atom_site_fract_y
_atom_site_fract_z
Gd1 Gd 0.000 0.000 0.000
In1 In 0.101 0.101 0.101
In2 In 0.899 0.899 0.899
Pd1 Pd 0.500 0.500 0.500
# **DOS at the Fermi energy**: 3.6 states/eV per cell
# **Theoretical density**: 8147 kg/m3


11.
# PBE Gd2InPd2, relaxed
data_Gd2InPd2
_cell_length_a 7.784
_cell_length_b 7.784
_cell_length_c 3.769
_cell_angle_alpha 90.00
_cell_angle_beta 90.00
_cell_angle_gamma 90.00
_space_group_name_H-M_alt 'P 1'
_space_group_IT_number 1
loop_
_space_group_symop_operation_xyz
'x,y,z'
loop_
_atom_site_label
_atom_site_type_symbol
_atom_site_fract_x
_atom_site_fract_y
_atom_site_fract_z
Gd1 Gd 0.174 0.326 0.000
Gd2 Gd 0.326 0.826 0.000
Gd3 Gd 0.674 0.174 0.000
Gd4 Gd 0.826 0.674 0.000
In1 In 0.000 0.000 0.500
In2 In 0.500 0.500 0.500
Pd1 Pd 0.128 0.628 0.500
Pd2 Pd 0.372 0.128 0.500
Pd3 Pd 0.628 0.872 0.500
Pd4 Pd 0.872 0.372 0.500
# **DOS at the Fermi energy**: 6.7 states/eV per cell
# **Theoretical density**: 9339 kg/m3


12.
# PBE GdInPd2, relaxed
data_GdInPd2
_cell_length_a 4.777
_cell_length_b 4.777
_cell_length_c 3.515
_cell_angle_alpha 90.00
_cell_angle_beta 90.00
_cell_angle_gamma 90.00
_space_group_name_H-M_alt 'P 1'
_space_group_IT_number 1
loop_
_space_group_symop_operation_xyz
'x,y,z'
loop_
_atom_site_label
_atom_site_type_symbol
_atom_site_fract_x
_atom_site_fract_y
_atom_site_fract_z
Gd1 Gd 0.000 0.000 0.000
In1 In 0.500 0.500 0.000
Pd1 Pd 0.000 0.500 0.500
Pd2 Pd 0.500 0.000 0.500
# **DOS at the Fermi energy**: 2.2 states/eV per cell
# **Theoretical density**: 10036 kg/m3


| no. | formation energy (eV per atom) | M_tot (μB/cell) | VASP energy (eV/atom) |
| --- | --- | --- | --- |
| 1 | -0.451 | 7.19 | -6.770 |
| 2 | -0.452 | 7.18 | -6.779 |
| 3 | -0.371 | 7.14 | -7.086 |
| 4 | -0.447 | 7.19 | -6.759 |
| 5 | -0.435 | 7.20 | -6.725 |
| 6 | -0.291 | 7.59 | -7.277 |
| 7 | -0.445 | 7.21 | -7.193 |
| 8 | -0.664 | 7.04 | -6.929 |
| 9 | -0.774 | 7.30 | -7.576 |
| 10 | -0.047 | 7.65 | -6.235 |
| 11 | -0.846 | 28.34 | -9.103 |
| 12 | -0.684 | 7.21 | -7.485 |